# 1
An optimized crystal structure of Sc3Tc5, computed with PBE-GGA.

Computed properties:
Energy relative to the elements: 0.13 eV/atom
Symmetry: Cmcm (63)
Energy above the lowest structure with this stoichiometry: 233 meV per atom
Calculated volume: 291.4 Å³/cell

Cell: 8.0072 8.0072 4.8670 Å, 90.00 90.00 69.03°
With the nearest neighbours (Å) after each atom.
Sites, in units of the cell vectors:
Sc: 0.0876 0.5487 0.2500  7 Tc 2.69-2.93
Sc: 0.1420 0.8580 0.7500  6 Tc 2.82-3.11
Sc: 0.4513 0.9124 0.2500  7 Tc 2.69-2.93
Sc: 0.5487 0.0876 0.7500  7 Tc 2.69-2.93
Sc: 0.8580 0.1420 0.2500  6 Tc 2.82-3.11
Sc: 0.9124 0.4513 0.7500  7 Tc 2.69-2.93
Tc: 0.1933 0.1933 0.0000  2 Tc 2.43
Tc: 0.1933 0.1933 0.5000  2 Tc 2.43
Tc: 0.2803 0.4803 0.7500  1 Tc 2.38
Tc: 0.4037 0.5963 0.2500  2 Tc 2.38
Tc: 0.4803 0.2803 0.2500  1 Tc 2.38
Tc: 0.5197 0.7197 0.7500  1 Tc 2.38
Tc: 0.5963 0.4037 0.7500  2 Tc 2.38
Tc: 0.7197 0.5197 0.2500  1 Tc 2.38
Tc: 0.8067 0.8067 0.0000  2 Tc 2.43
Tc: 0.8067 0.8067 0.5000  2 Tc 2.43

=====

# 2
An optimized crystal structure of ScTc3, computed with PBE-GGA.

Computed properties:
Energy relative to the elements: 0.14 eV/atom
Symmetry: P-6m2 (187)
Energy above the lowest structure with this stoichiometry: 243 meV per atom
Calculated volume: 63.8 Å³/cell

Cell: 2.8904 2.8904 8.8222 Å, 90.00 90.00 120.00°
With the nearest neighbours (Å) after each atom.
Sites, in units of the cell vectors:
Sc: 0.0000 0.0000 0.0000  6 Tc 2.88, 6 Sc 2.89
Tc: 0.0000 0.0000 0.5000  12 Tc 2.65-2.89
Tc: 0.3333 0.6667 0.2662  9 Tc 2.65-2.89, 3 Sc 2.88
Tc: 0.3333 0.6667 0.7338  9 Tc 2.65-2.89, 3 Sc 2.88

=====

# 3
An optimized crystal structure of ScTc, computed with PBE-GGA.

Computed properties:
Energy relative to the elements: -0.14 eV/atom
Symmetry: P4/nmm (129)
Calculated volume: 76.3 Å³/cell

Cell: 3.0489 3.0489 8.2071 Å, 90.00 90.00 90.00°
With the nearest neighbours (Å) after each atom.
Sites, in units of the cell vectors:
Sc: 0.2500 0.2500 0.1803  4 Tc 2.87, 4 Sc 3.05
Sc: 0.7500 0.7500 0.8197  4 Tc 2.87, 4 Sc 3.05
Tc: 0.2500 0.2500 0.5890  4 Tc 2.60, 4 Sc 2.87
Tc: 0.7500 0.7500 0.4110  4 Tc 2.60, 4 Sc 2.87

=====

# 4
An optimized crystal structure of ScTc3, computed with PBE-GGA.

Computed properties:
Energy relative to the elements: -0.10 eV/atom
Symmetry: Immm (71)
Energy above the lowest structure with this stoichiometry: 8 meV per atom
Calculated volume: 124.7 Å³/cell

Cell: 3.1239 4.4541 8.9597 Å, 90.00 90.00 90.00°
With the nearest neighbours (Å) after each atom.
Sites, in units of the cell vectors:
Sc: 0.0000 0.0000 0.0000  8 Tc 2.72-2.78
Sc: 0.5000 0.5000 0.5000  8 Tc 2.72-2.78
Tc: 0.0000 0.0000 0.5000  4 Tc 2.68, 4 Sc 2.72
Tc: 0.0000 0.5000 0.2435  6 Tc 2.68-2.72, 2 Sc 2.78
Tc: 0.0000 0.5000 0.7565  6 Tc 2.68-2.72, 2 Sc 2.78
Tc: 0.5000 0.0000 0.2565  6 Tc 2.68-2.72, 2 Sc 2.78
Tc: 0.5000 0.0000 0.7435  6 Tc 2.68-2.72, 2 Sc 2.78
Tc: 0.5000 0.5000 0.0000  4 Tc 2.68, 4 Sc 2.72

=====

# 5
An optimized crystal structure of ScTc4, computed with PBE-GGA.

Computed properties:
Energy relative to the elements: 1.95 eV/atom
Symmetry: Pm-3m (221)
Calculated volume: 90.4 Å³/cell

Cell: 4.4887 4.4887 4.4887 Å, 90.00 90.00 90.00°
With the nearest neighbours (Å) after each atom.
Sites, in units of the cell vectors:
Sc: 0.0000 0.0000 0.0000  6 Tc 2.24
Tc: 0.0000 0.0000 0.5000  2 Sc 2.24
Tc: 0.0000 0.5000 0.0000  2 Sc 2.24
Tc: 0.5000 0.0000 0.0000  2 Sc 2.24
Tc: 0.5000 0.5000 0.5000  12 Tc 3.17

=====

# 6
An optimized crystal structure of ScTc3, computed with PBE-GGA.

Computed properties:
Energy relative to the elements: 0.15 eV/atom
Symmetry: R-3m (166)
Energy above the lowest structure with this stoichiometry: 259 meV per atom
Calculated volume: 191.4 Å³/cell

Cell: 2.8810 2.8810 26.6226 Å, 90.00 90.00 120.00°
With the nearest neighbours (Å) after each atom.
Sites, in units of the cell vectors:
Sc: 0.0000 0.0000 0.0000  6 Tc 2.88, 6 Sc 2.88
Sc: 0.3333 0.6667 0.6667  6 Tc 2.88, 6 Sc 2.88
Sc: 0.6667 0.3333 0.3333  6 Tc 2.88, 6 Sc 2.88
Tc: 0.0000 0.0000 0.2452  9 Tc 2.67-2.88, 3 Sc 2.88
Tc: 0.0000 0.0000 0.5000  12 Tc 2.67-2.88
Tc: 0.0000 0.0000 0.7548  9 Tc 2.67-2.88, 3 Sc 2.88
Tc: 0.3333 0.6667 0.1667  12 Tc 2.67-2.88
Tc: 0.3333 0.6667 0.4214  9 Tc 2.67-2.88, 3 Sc 2.88
Tc: 0.3333 0.6667 0.9119  9 Tc 2.67-2.88, 3 Sc 2.88
Tc: 0.6667 0.3333 0.0881  9 Tc 2.67-2.88, 3 Sc 2.88
Tc: 0.6667 0.3333 0.5786  9 Tc 2.67-2.88, 3 Sc 2.88
Tc: 0.6667 0.3333 0.8333  12 Tc 2.67-2.88

=====

# 7
An optimized crystal structure of ScTc, computed with PBE-GGA.

Computed properties:
Energy relative to the elements: 1.26 eV/atom
Symmetry: P6_3/mmc (194)
Calculated volume: 93.4 Å³/cell

Cell: 4.5472 4.5472 5.2159 Å, 90.00 90.00 120.00°
With the nearest neighbours (Å) after each atom.
Sites, in units of the cell vectors:
Sc: 0.3333 0.6667 0.2500  5 Tc 2.61-2.63
Sc: 0.6667 0.3333 0.7500  5 Tc 2.61-2.63
Tc: 0.3333 0.6667 0.7500  5 Sc 2.61-2.63
Tc: 0.6667 0.3333 0.2500  5 Sc 2.61-2.63

=====

# 8
An optimized crystal structure of Sc5Tc2, computed with PBE-GGA.

Computed properties:
Energy relative to the elements: -0.18 eV/atom
Symmetry: C2/c (15)
Calculated volume: 292.8 Å³/cell

Cell: 7.8462 7.8462 7.3654 Å, 97.55 97.55 40.70°
With the nearest neighbours (Å) after each atom.
Sites, in units of the cell vectors:
Sc: 0.1076 0.3212 0.3221  3 Tc 2.71-2.87
Sc: 0.1334 0.8666 0.7500  4 Tc 2.74
Sc: 0.2707 0.5437 0.0764  2 Tc 2.71-2.72
Sc: 0.3212 0.1076 0.8221  3 Tc 2.71-2.87
Sc: 0.4563 0.7293 0.4236  2 Tc 2.71-2.72
Sc: 0.5437 0.2707 0.5764  2 Tc 2.71-2.72
Sc: 0.6788 0.8924 0.1779  3 Tc 2.71-2.87
Sc: 0.7293 0.4563 0.9236  2 Tc 2.71-2.72
Sc: 0.8666 0.1334 0.2500  4 Tc 2.74
Sc: 0.8924 0.6788 0.6779  3 Tc 2.71-2.87
Tc: 0.0804 0.7083 0.4160  7 Sc 2.71-2.87
Tc: 0.2917 0.9196 0.0840  7 Sc 2.71-2.87
Tc: 0.7083 0.0804 0.9160  7 Sc 2.71-2.87
Tc: 0.9196 0.2917 0.5840  7 Sc 2.71-2.87

=====

# 9
An optimized crystal structure of ScTc5, computed with PBE-GGA.

Computed properties:
Energy relative to the elements: 0.03 eV/atom
Symmetry: Cmmm (65)
Energy above the lowest structure with this stoichiometry: 6 meV per atom
Calculated volume: 184.0 Å³/cell

Cell: 3.0892 13.3919 4.4474 Å, 90.00 90.00 90.00°
With the nearest neighbours (Å) after each atom.
Sites, in units of the cell vectors:
Sc: 0.0000 0.0000 0.0000  8 Tc 2.71-2.79
Sc: 0.5000 0.5000 0.0000  8 Tc 2.71-2.79
Tc: 0.0000 0.1643 0.5000  8 Tc 2.69-2.77
Tc: 0.0000 0.3269 0.0000  6 Tc 2.57-2.71, 2 Sc 2.79
Tc: 0.0000 0.5000 0.5000  4 Tc 2.69, 4 Sc 2.71
Tc: 0.0000 0.6731 0.0000  6 Tc 2.57-2.71, 2 Sc 2.79
Tc: 0.0000 0.8357 0.5000  8 Tc 2.69-2.77
Tc: 0.5000 0.0000 0.5000  4 Tc 2.69, 4 Sc 2.71
Tc: 0.5000 0.1731 0.0000  6 Tc 2.57-2.71, 2 Sc 2.79
Tc: 0.5000 0.3357 0.5000  8 Tc 2.69-2.77
Tc: 0.5000 0.6643 0.5000  8 Tc 2.69-2.77
Tc: 0.5000 0.8269 0.0000  6 Tc 2.57-2.71, 2 Sc 2.79

=====

# 10
An optimized crystal structure of Sc5Tc4, computed with PBE-GGA.

Computed properties:
Energy relative to the elements: -0.02 eV/atom
Symmetry: P6_3/mcm (193)
Energy above the lowest structure with this stoichiometry: 0 meV per atom
Calculated volume: 323.0 Å³/cell

Cell: 8.0648 8.0648 5.7346 Å, 90.00 90.00 120.00°
With the nearest neighbours (Å) after each atom.
Sites, in units of the cell vectors:
Sc: 0.0000 0.2844 0.2500  7 Tc 2.70-2.95
Sc: 0.0000 0.7156 0.7500  7 Tc 2.70-2.95
Sc: 0.2844 0.0000 0.2500  7 Tc 2.70-2.95
Sc: 0.2844 0.2844 0.7500  7 Tc 2.70-2.95
Sc: 0.3333 0.6667 0.0000  2 Sc 2.87, 6 Tc 2.93
Sc: 0.3333 0.6667 0.5000  2 Sc 2.87, 6 Tc 2.93
Sc: 0.6667 0.3333 0.0000  2 Sc 2.87, 6 Tc 2.93
Sc: 0.6667 0.3333 0.5000  2 Sc 2.87, 6 Tc 2.93
Sc: 0.7156 0.0000 0.7500  7 Tc 2.70-2.95
Sc: 0.7156 0.7156 0.2500  7 Tc 2.70-2.95
Tc: 0.0000 0.0000 0.0000  6 Sc 2.70, 2 Tc 2.87
Tc: 0.0000 0.0000 0.5000  6 Sc 2.70, 2 Tc 2.87
Tc: 0.0000 0.3708 0.7500  9 Sc 2.71-2.95
Tc: 0.0000 0.6292 0.2500  9 Sc 2.71-2.95
Tc: 0.3708 0.0000 0.7500  9 Sc 2.71-2.95
Tc: 0.3708 0.3708 0.2500  9 Sc 2.71-2.95
Tc: 0.6292 0.0000 0.2500  9 Sc 2.71-2.95
Tc: 0.6292 0.6292 0.7500  9 Sc 2.71-2.95

=====

# 11
An optimized crystal structure of ScTc5, computed with PBE-GGA.

Computed properties:
Energy relative to the elements: 0.03 eV/atom
Symmetry: Cm (8)
Energy above the lowest structure with this stoichiometry: 0 meV per atom
Calculated volume: 185.1 Å³/cell

Cell: 9.8819 3.0268 6.5228 Å, 90.00 108.40 90.00°
With the nearest neighbours (Å) after each atom.
Sites, in units of the cell vectors:
Sc: 0.0000 0.0000 0.0000  9 Tc 2.73-2.91, 2 Sc 3.03
Sc: 0.5000 0.5000 0.0000  9 Tc 2.73-2.91, 2 Sc 3.03
Tc: 0.0416 0.0000 0.5357  9 Tc 2.61-2.78
Tc: 0.1702 0.5000 0.3296  6 Tc 2.57-2.65, 2 Sc 2.73
Tc: 0.1896 0.5000 0.8655  6 Tc 2.66-2.82, 3 Sc 2.76-2.91
Tc: 0.3373 0.0000 0.6403  8 Tc 2.65-2.82, 2 Sc 2.83
Tc: 0.3468 0.0000 0.2205  7 Tc 2.57-2.79, 2 Sc 2.83
Tc: 0.5416 0.5000 0.5357  9 Tc 2.61-2.78
Tc: 0.6702 0.0000 0.3296  6 Tc 2.57-2.65, 2 Sc 2.73
Tc: 0.6896 0.0000 0.8655  6 Tc 2.66-2.82, 3 Sc 2.76-2.91
Tc: 0.8373 0.5000 0.6403  8 Tc 2.65-2.82, 2 Sc 2.83
Tc: 0.8468 0.5000 0.2205  7 Tc 2.57-2.79, 2 Sc 2.83

=====

# 12
An optimized crystal structure of ScTc, computed with PBE-GGA.

Computed properties:
Energy relative to the elements: 0.05 eV/atom
Symmetry: Pmmn (59)
Calculated volume: 70.0 Å³/cell

Cell: 3.0034 4.3643 5.3373 Å, 90.00 90.00 90.00°
With the nearest neighbours (Å) after each atom.
Sites, in units of the cell vectors:
Sc: 0.2500 0.2500 0.1391  1 Tc 2.50
Sc: 0.7500 0.7500 0.8609  1 Tc 2.50
Tc: 0.2500 0.2500 0.6070  1 Sc 2.50
Tc: 0.7500 0.7500 0.3930  1 Sc 2.50

=====

Density (computed, kg/m3): 7122, 8818, 6223, 9030, 8023, 8824, 5083, 4773, 9656, 6341, 9597, 6786